Record 1
An optimized crystal structure of LaTi2Os2. Source: Alexandria via LeMat-Bulk, functional PBE.

Results
* uncorrected energy: -8.782 eV/atom
* density of states at the Fermi level: 3.31 states/eV/f.u.
* relative energy among the computed polymorphs: 0.003 eV per atom

Cell lengths 7.784, 7.784, 3.044 Å; angles 90.00, 90.00, 90.00 degrees
Fractional positions:
La1 0.000 0.000 0.000
La2 0.500 0.500 0.000
Ti1 0.137 0.363 0.500
Ti2 0.363 0.863 0.500
Ti3 0.637 0.137 0.500
Ti4 0.863 0.637 0.500
Os1 0.146 0.646 0.000
Os2 0.354 0.146 0.000
Os3 0.646 0.854 0.000
Os4 0.854 0.354 0.000

Record 2
An optimized crystal structure of LaTi2Os. Source: Alexandria via LeMat-Bulk, functional PBE.

Results
* uncorrected energy: -7.400 eV/atom
* density of states at the Fermi level: 4.76 states/eV/f.u.
* relative energy among the computed polymorphs: 0.509 eV per atom

Cell lengths 9.602, 9.602, 9.602 Å; angles 151.72, 151.72, 40.43 degrees
Fractional positions:
La1 0.375 0.625 0.750
La2 0.625 0.375 0.250
Ti1 0.000 0.000 0.000
Ti2 0.000 0.000 0.500
Ti3 0.000 0.500 0.000
Ti4 0.500 0.000 0.500
Os1 0.125 0.875 0.250
Os2 0.875 0.125 0.750

Record 3
An optimized crystal structure of LaTi3Os. Source: Alexandria via LeMat-Bulk, functional PBE.

Results
* uncorrected energy: -6.275 eV/atom
* density of states at the Fermi level: 6.64 states/eV/f.u.
* relative energy among the computed polymorphs: 1.544 eV per atom

Cell lengths 4.654, 4.654, 4.654 Å; angles 90.00, 90.00, 90.00 degrees
Fractional positions:
La1 0.000 0.000 0.000
Ti1 0.000 0.000 0.500
Ti2 0.000 0.500 0.000
Ti3 0.500 0.000 0.000
Os1 0.500 0.500 0.500

Record 4
An optimized crystal structure of LaTi2Os2. Source: Alexandria via LeMat-Bulk, functional PBE.

Results
* uncorrected energy: -8.711 eV/atom
* density of states at the Fermi level: 3.07 states/eV/f.u.
* relative energy among the computed polymorphs: 0.074 eV per atom

Cell lengths 6.117, 6.117, 6.117 Å; angles 137.75, 137.75, 61.29 degrees
Fractional positions:
La1 0.000 0.000 0.000
Ti1 0.364 0.364 0.000
Ti2 0.636 0.636 0.000
Os1 0.250 0.750 0.500
Os2 0.750 0.250 0.500

Record 5
An optimized crystal structure of LaTi2Os2. Source: Alexandria via LeMat-Bulk, functional PBE.

Results
* uncorrected energy: -8.785 eV/atom
* density of states at the Fermi level: 5.49 states/eV/f.u.
* relative energy among the computed polymorphs: 0.000 eV per atom

Cell lengths 7.822, 7.822, 2.950 Å; angles 90.00, 90.00, 90.00 degrees
Fractional positions:
La1 0.000 0.000 0.000
La2 0.500 0.500 0.000
Ti1 0.136 0.364 0.000
Ti2 0.364 0.864 0.000
Ti3 0.636 0.136 0.000
Ti4 0.864 0.636 0.000
Os1 0.147 0.647 0.500
Os2 0.353 0.147 0.500
Os3 0.647 0.853 0.500
Os4 0.853 0.353 0.500

Record 6
An optimized crystal structure of LaTiZnOs2. Source: Alexandria via LeMat-Bulk, functional PBE.

Results
* uncorrected energy: -5.120 eV/atom
* density of states at the Fermi level: 8.77 states/eV/f.u.

Cell lengths 4.842, 4.842, 4.769 Å; angles 90.00, 90.00, 90.00 degrees
Fractional positions:
La1 0.000 0.000 0.000
Ti1 0.000 0.000 0.500
Zn1 0.500 0.500 0.500
Os1 0.000 0.500 0.000
Os2 0.500 0.000 0.000

Record 7
An optimized crystal structure of La2ZrTiOs. Source: Alexandria via LeMat-Bulk, functional PBE.

Results
* uncorrected energy: -6.094 eV/atom
* density of states at the Fermi level: 8.60 states/eV/f.u.

Cell lengths 5.484, 5.484, 4.626 Å; angles 90.00, 90.00, 90.00 degrees
Fractional positions:
La1 0.000 0.500 0.000
La2 0.500 0.000 0.000
Zr1 0.000 0.000 0.000
Ti1 0.000 0.000 0.500
Os1 0.500 0.500 0.500

Record 8
An optimized crystal structure of LaTl2Os. Source: Alexandria via LeMat-Bulk, functional PBE.

Results
* uncorrected energy: -4.921 eV/atom
* density of states at the Fermi level: 3.72 states/eV/f.u.
* relative energy among the computed polymorphs: 0.090 eV per atom

Cell lengths 5.363, 5.363, 5.363 Å; angles 127.52, 127.52, 77.41 degrees
Fractional positions:
La1 0.000 0.000 0.000
Tl1 0.250 0.750 0.500
Tl2 0.750 0.250 0.500
Os1 0.500 0.500 0.000

Record 9
An optimized crystal structure of LaTl2Os. Source: Alexandria via LeMat-Bulk, functional PBE.

Results
* uncorrected energy: -4.885 eV/atom
* density of states at the Fermi level: 3.25 states/eV/f.u.
* relative energy among the computed polymorphs: 0.126 eV per atom

Cell lengths 4.366, 4.366, 5.145 Å; angles 90.00, 90.00, 90.00 degrees
Fractional positions:
La1 0.000 0.000 0.000
Tl1 0.000 0.500 0.500
Tl2 0.500 0.000 0.500
Os1 0.500 0.500 0.000

Record 10
An optimized crystal structure of LaTl2Os. Source: Alexandria via LeMat-Bulk, functional PBE.

Results
* uncorrected energy: -5.011 eV/atom
* density of states at the Fermi level: 2.44 states/eV/f.u.
* relative energy among the computed polymorphs: 0.000 eV per atom

Cell lengths 6.424, 6.424, 5.201 Å; angles 113.61, 113.61, 30.60 degrees
Fractional positions:
La1 0.000 0.000 0.000
Tl1 0.209 0.209 0.709
Tl2 0.791 0.791 0.291
Os1 0.500 0.500 0.500

Record 11
An optimized crystal structure of LaTl2Os. Source: Alexandria via LeMat-Bulk, functional PBE.

Results
* uncorrected energy: -4.997 eV/atom
* density of states at the Fermi level: 2.55 states/eV/f.u.
* relative energy among the computed polymorphs: 0.014 eV per atom

Cell lengths 3.459, 3.459, 8.501 Å; angles 90.00, 90.00, 90.00 degrees
Fractional positions:
La1 0.000 0.000 0.000
Tl1 0.000 0.000 0.399
Tl2 0.500 0.500 0.670
Os1 0.500 0.500 0.205

Record 12
An optimized crystal structure of LaTl2Os. Source: Alexandria via LeMat-Bulk, functional PBE.

Results
* uncorrected energy: -4.866 eV/atom
* density of states at the Fermi level: 2.79 states/eV/f.u.
* relative energy among the computed polymorphs: 0.145 eV per atom

Cell lengths 5.843, 5.843, 5.843 Å; angles 140.22, 124.74, 70.22 degrees
Fractional positions:
La1 0.000 0.000 0.000
Tl1 0.412 0.412 0.000
Tl2 0.701 0.201 0.500
Os1 0.199 0.699 0.500